Entry 1:
Entry from the Alexandria database: a geometry-optimized MgZnSN2 structure (PBE).

Properties
SG = P4/mmm, No. 123
DOS(E_F) = 2.74 states/eV/f.u.
energy above the most stable polymorph in this dataset = 258.3 meV per atom
M_tot = 3.7 μB per formula unit
volume = 84.1 Å³/cell

a = 3.979 Å, b = 3.979 Å, c = 5.311 Å
α = 90.00°, β = 90.00°, γ = 90.00°
Each line ends with the local moment (μB).
Fractional positions:
Mg1 0.000 0.000 0.000  -0.01
Zn1 0.500 0.500 0.500  -0.02
S1 0.000 0.000 0.500  0.18
N1 0.000 0.500 0.000  1.17
N2 0.500 0.000 0.000  1.17

---

Entry 2:
Entry from the Alexandria database: a geometry-optimized MgZrS2N structure (PBE).

Properties
SG = P4/mmm, No. 123
DOS(E_F) = 2.03 states/eV/f.u.
energy above the most stable polymorph in this dataset = 505.9 meV per atom
M_tot = 1.2 μB per formula unit
volume = 85.8 Å³/cell

a = 4.734 Å, b = 4.734 Å, c = 3.827 Å
α = 90.00°, β = 90.00°, γ = 90.00°
Each line ends with the local moment (μB).
Fractional positions:
S1 0.000 0.500 0.000  0.13
S2 0.500 0.000 0.000  0.13
Mg1 0.000 0.000 0.000  0.00
Zr1 0.500 0.500 0.500  -0.31
N1 0.000 0.000 0.500  0.86

---

Entry 3:
Entry from the Alexandria database: a geometry-optimized MgZrS2N structure (PBE).

Properties
SG = P4/mmm, No. 123
DOS(E_F) = 2.34 states/eV/f.u.
energy above the most stable polymorph in this dataset = 0.0 meV per atom
M_tot = 0.7 μB per formula unit
volume = 105.1 Å³/cell

a = 5.080 Å, b = 5.080 Å, c = 4.073 Å
α = 90.00°, β = 90.00°, γ = 90.00°
Each line ends with the local moment (μB).
Fractional positions:
S1 0.000 0.500 0.000  0.08
S2 0.500 0.000 0.000  0.08
Mg1 0.500 0.500 0.500  -0.01
Zr1 0.000 0.000 0.000  -0.04
N1 0.000 0.000 0.500  0.39

---

Entry 4:
Entry from the Alexandria database: a geometry-optimized Mg4Sb2N structure (PBE).

Properties
SG = I4/mmm, No. 139
DOS(E_F) = 2.01 states/eV/f.u.
energy above the most stable polymorph in this dataset = 0.0 meV per atom
M_tot = 0.0 μB per formula unit
volume = 138.5 Å³/cell

a = 4.329 Å, b = 4.329 Å, c = 8.000 Å
α = 105.70°, β = 105.70°, γ = 90.00°
Fractional positions:
Sb1 0.654 0.654 0.308
Sb2 0.346 0.346 0.692
Mg1 0.853 0.853 0.706
Mg2 0.147 0.147 0.294
Mg3 0.000 0.500 0.000
Mg4 0.500 0.000 0.000
N1 0.000 0.000 0.000

---

Entry 5:
Entry from the Alexandria database: a geometry-optimized Mg4SbN structure (PBE).

Properties
SG = P4/mmm, No. 123
DOS(E_F) = 1.21 states/eV/f.u.
M_tot = 0.0 μB per formula unit
volume = 120.7 Å³/cell

a = 4.231 Å, b = 4.231 Å, c = 6.742 Å
α = 90.00°, β = 90.00°, γ = 90.00°
Fractional positions:
Mg1 0.500 0.000 0.700
Mg2 0.000 0.500 0.700
Mg3 0.500 0.000 0.300
Mg4 0.000 0.500 0.300
Sb1 0.000 0.000 0.000
N1 0.500 0.500 0.500

---

Entry 6:
Entry from the Alexandria database: a geometry-optimized Mg5SbN5 structure (PBE).

Properties
SG = C2/m, No. 12
DOS(E_F) = 0.06 states/eV/f.u.
M_tot = 0.0 μB per formula unit
volume = 130.3 Å³/cell

a = 4.344 Å, b = 5.503 Å, c = 6.266 Å
α = 107.19°, β = 90.00°, γ = 113.24°
Fractional positions:
Mg1 0.692 0.385 0.329
Mg2 0.679 0.357 0.859
Mg3 0.000 0.000 0.500
Mg4 0.321 0.643 0.141
Mg5 0.308 0.615 0.671
Sb1 0.000 0.000 0.000
N1 0.850 0.701 0.174
N2 0.841 0.681 0.673
N3 0.500 0.000 0.000
N4 0.159 0.319 0.327
N5 0.150 0.299 0.826

---

Entry 7:
Entry from the Alexandria database: a geometry-optimized MgSbN2 structure (PBE).

Properties
SG = I-42d, No. 122
DOS(E_F) = 1.53 states/eV/f.u.
energy above the most stable polymorph in this dataset = 0.0 meV per atom
M_tot = 0.0 μB per formula unit
volume = 122.0 Å³/cell

a = 4.927 Å, b = 4.927 Å, c = 6.116 Å
α = 66.25°, β = 66.25°, γ = 90.00°
Fractional positions:
Sb1 0.000 0.000 0.000
Sb2 0.750 0.250 0.500
Mg1 0.500 0.500 0.000
Mg2 0.250 0.750 0.500
N1 0.626 0.125 0.250
N2 0.124 0.625 0.250
N3 0.375 0.374 0.750
N4 0.875 0.876 0.750

---

Entry 8:
Entry from the Alexandria database: a geometry-optimized MgSbN2 structure (PBE).

Properties
SG = R-3m, No. 166
DOS(E_F) = 2.12 states/eV/f.u.
energy above the most stable polymorph in this dataset = 419.6 meV per atom
M_tot = 0.0 μB per formula unit
volume = 60.3 Å³/cell

a = 6.268 Å, b = 6.268 Å, c = 6.268 Å
α = 31.69°, β = 31.69°, γ = 31.69°
Fractional positions:
Sb1 0.000 0.000 0.000
Mg1 0.500 0.500 0.500
N1 0.891 0.891 0.891
N2 0.109 0.109 0.109

---

no.,E_form (uncorrected) (meV/atom)
1,1199
2,64
3,-442
4,-473
5,-8
6,-468
7,50
8,470